Below is a relaxed structure of Mn2CoSnH, with properties calculated at the GGA-PBE level.

a = 3.8513 Å, b = 3.8513 Å, c = 3.8549 Å
α = 90.00°, β = 90.00°, γ = 90.00°
Fractional coordinates of all 5 atoms:
Mn1 0.0000 0.5000 0.0000
Mn2 0.5000 0.0000 0.0000
Co1 0.0000 0.0000 0.5000
Sn1 0.5000 0.5000 0.5000
H1 0.0000 0.0000 0.0000

Computed properties:
**Crystal system**: tetragonal
**Spin magnetization**: 6.123 μB per cell
**D(E_F)**: 3.3 states/eV/f.u.
**VASP energy**: -32.92 eV/cell
**Space-group type**: P4/mmm (123)